PrPu4S6: optimized geometry, PBE-GGA.

Cell lengths 6.874, 6.874, 20.069 Å; angles 90.00, 90.00, 146.62 degrees
Atoms (fractional coordinates):
Pr (0.152, 0.848, 0.750)
Pr (0.848, 0.152, 0.250)
Pu (0.095, 0.905, 0.130)
Pu (0.095, 0.905, 0.370)
Pu (0.363, 0.637, 0.043)
Pu (0.363, 0.637, 0.457)
Pu (0.637, 0.363, 0.543)
Pu (0.637, 0.363, 0.957)
Pu (0.905, 0.095, 0.630)
Pu (0.905, 0.095, 0.870)
S (0.000, 0.000, 0.000)
S (0.000, 0.000, 0.500)
S (0.192, 0.808, 0.250)
S (0.273, 0.727, 0.585)
S (0.273, 0.727, 0.915)
S (0.456, 0.544, 0.166)
S (0.456, 0.544, 0.334)
S (0.544, 0.456, 0.666)
S (0.544, 0.456, 0.834)
S (0.727, 0.273, 0.085)
S (0.727, 0.273, 0.415)
S (0.808, 0.192, 0.750)

Calculated values
- density of states at the Fermi level (states/eV/f.u.) = 32.475
- symmetry = No. 63
- total DFT energy (no corrections) (eV/cell) = -213.33
- crystal system = orthorhombic

PrPu5S6: optimized geometry, PBE-GGA.

Cell lengths 6.903, 6.903, 6.910 Å; angles 99.59, 99.59, 119.99 degrees
Atoms (fractional coordinates):
Pr (0.000, 0.000, 0.000)
Pu (0.164, 0.836, 0.500)
Pu (0.333, 0.667, 0.000)
Pu (0.500, 0.500, 0.500)
Pu (0.667, 0.333, 0.000)
Pu (0.836, 0.164, 0.500)
S (0.085, 0.427, 0.256)
S (0.257, 0.257, 0.746)
S (0.427, 0.085, 0.256)
S (0.573, 0.915, 0.744)
S (0.743, 0.743, 0.254)
S (0.915, 0.573, 0.744)

Calculated values
- density of states at the Fermi level (states/eV/f.u.) = 41.832
- symmetry = No. 12
- total DFT energy (no corrections) (eV/cell) = -122.87
- crystal system = monoclinic

PrPuS3: optimized geometry, PBE-GGA.

Cell lengths 7.431, 4.029, 15.470 Å; angles 90.00, 90.00, 90.00 degrees
Atoms (fractional coordinates):
Pr (0.137, 0.250, 0.203)
Pr (0.363, 0.750, 0.703)
Pr (0.637, 0.250, 0.297)
Pr (0.863, 0.750, 0.797)
Pu (0.231, 0.750, 0.460)
Pu (0.269, 0.250, 0.960)
Pu (0.731, 0.750, 0.040)
Pu (0.769, 0.250, 0.540)
S (0.012, 0.250, 0.396)
S (0.128, 0.750, 0.064)
S (0.152, 0.250, 0.785)
S (0.348, 0.750, 0.285)
S (0.372, 0.250, 0.564)
S (0.488, 0.750, 0.896)
S (0.512, 0.250, 0.104)
S (0.628, 0.750, 0.436)
S (0.652, 0.250, 0.715)
S (0.848, 0.750, 0.215)
S (0.872, 0.250, 0.936)
S (0.988, 0.750, 0.604)

Calculated values
- density of states at the Fermi level (states/eV/f.u.) = 8.331
- symmetry = No. 62
- excess energy over the best structure of this formula in the dataset (kJ per mole of atoms) = 0.00
- crystal system = orthorhombic

Pr4PuS6: optimized geometry, PBE-GGA.

Cell lengths 7.055, 7.055, 20.439 Å; angles 90.00, 90.00, 146.89 degrees
Atoms (fractional coordinates):
Pr (0.091, 0.909, 0.632)
Pr (0.091, 0.909, 0.868)
Pr (0.361, 0.639, 0.542)
Pr (0.361, 0.639, 0.958)
Pr (0.639, 0.361, 0.042)
Pr (0.639, 0.361, 0.458)
Pr (0.909, 0.091, 0.132)
Pr (0.909, 0.091, 0.368)
Pu (0.154, 0.846, 0.250)
Pu (0.846, 0.154, 0.750)
S (0.000, 0.000, 0.000)
S (0.000, 0.000, 0.500)
S (0.200, 0.800, 0.750)
S (0.271, 0.729, 0.090)
S (0.271, 0.729, 0.410)
S (0.450, 0.550, 0.670)
S (0.450, 0.550, 0.830)
S (0.550, 0.450, 0.170)
S (0.550, 0.450, 0.330)
S (0.729, 0.271, 0.590)
S (0.729, 0.271, 0.910)
S (0.800, 0.200, 0.250)

Calculated values
- density of states at the Fermi level (states/eV/f.u.) = 16.786
- symmetry = No. 63
- total DFT energy (no corrections) (eV/cell) = -158.89
- crystal system = orthorhombic

PrPu3S4: optimized geometry, PBE-GGA.

Cell lengths 6.929, 6.929, 3.997 Å; angles 90.00, 90.00, 109.41 degrees
Atoms (fractional coordinates):
Pr (0.000, 0.000, 0.000)
Pu (0.000, 0.500, 0.500)
Pu (0.500, 0.000, 0.500)
Pu (0.500, 0.500, 0.000)
S (0.255, 0.745, 0.000)
S (0.260, 0.260, 0.500)
S (0.740, 0.740, 0.500)
S (0.745, 0.255, 0.000)

Calculated values
- density of states at the Fermi level (states/eV/f.u.) = 24.214
- symmetry = No. 65
- total DFT energy (no corrections) (eV/cell) = -78.94
- crystal system = orthorhombic

Pr3PuS4: optimized geometry, PBE-GGA.

Cell lengths 7.060, 7.060, 4.056 Å; angles 90.00, 90.00, 109.27 degrees
Atoms (fractional coordinates):
Pr (0.000, 0.000, 0.000)
Pr (0.000, 0.500, 0.500)
Pr (0.500, 0.000, 0.500)
Pu (0.500, 0.500, 0.000)
S (0.254, 0.746, 0.000)
S (0.259, 0.259, 0.500)
S (0.741, 0.741, 0.500)
S (0.746, 0.254, 0.000)

Calculated values
- density of states at the Fermi level (states/eV/f.u.) = 9.155
- symmetry = No. 65
- excess energy over the best structure of this formula in the dataset (kJ per mole of atoms) = 0.28
- crystal system = orthorhombic

PrPu6S8: optimized geometry, PBE-GGA.

Cell lengths 7.960, 7.960, 7.960 Å; angles 60.00, 60.00, 60.00 degrees
Atoms (fractional coordinates):
Pr (0.000, 0.000, 0.000)
Pu (0.000, 0.000, 0.500)
Pu (0.000, 0.500, 0.000)
Pu (0.000, 0.500, 0.500)
Pu (0.500, 0.000, 0.000)
Pu (0.500, 0.000, 0.500)
Pu (0.500, 0.500, 0.000)
S (0.250, 0.250, 0.250)
S (0.254, 0.254, 0.746)
S (0.254, 0.746, 0.254)
S (0.254, 0.746, 0.746)
S (0.746, 0.254, 0.254)
S (0.746, 0.254, 0.746)
S (0.746, 0.746, 0.254)
S (0.750, 0.750, 0.750)

Calculated values
- density of states at the Fermi level (states/eV/f.u.) = 52.822
- symmetry = No. 225
- total DFT energy (no corrections) (eV/cell) = -150.35
- crystal system = cubic

Pr2PuS4: optimized geometry, PBE-GGA.

Cell lengths 7.047, 7.047, 13.434 Å; angles 90.00, 90.00, 147.17 degrees
Atoms (fractional coordinates):
Pr (0.132, 0.868, 0.571)
Pr (0.132, 0.868, 0.929)
Pr (0.868, 0.132, 0.071)
Pr (0.868, 0.132, 0.429)
Pu (0.378, 0.622, 0.750)
Pu (0.622, 0.378, 0.250)
S (0.023, 0.977, 0.750)
S (0.224, 0.776, 0.125)
S (0.224, 0.776, 0.375)
S (0.500, 0.500, 0.000)
S (0.500, 0.500, 0.500)
S (0.776, 0.224, 0.625)
S (0.776, 0.224, 0.875)
S (0.977, 0.023, 0.250)

Calculated values
- density of states at the Fermi level (states/eV/f.u.) = 14.342
- symmetry = No. 63
- excess energy over the best structure of this formula in the dataset (kJ per mole of atoms) = 0.95
- crystal system = orthorhombic

- The lowest density of states at the Fermi level belongs to which entry?
  PrPuS3